Density functional theory data (PBE) for a geometry-optimized RbFe2Cl6 structure.

## Properties
energy relative to the elements, uncorrected	-1.05	eV per atom
M_tot	9.00	μB/f.u.

Cell: 13.628 14.516 6.315 Å, 90.00 96.42 90.00°
Space group C2/c (No. 15)
One atom of each set of equivalent atoms:
1 Rb 0.000 0.132 0.250 x4
2 Fe 0.206 0.426 0.236 x8
3 Cl 0.126 0.310 0.080 x8
4 Cl 0.130 0.079 0.734 x8
5 Cl 0.156 0.436 0.578 x8